Record 1
Compound: SnSeN2
Source: Alexandria
Functional: PBE-GGA
Structure: optimized geometry

Lattice parameters (Å, degrees): 4.1876 4.1876 4.1876 60.00 60.00 60.00
Sites, in units of the cell vectors:
Sn  0.5000  0.5000  0.5000
Se  0.0000  0.0000  0.0000
N  0.2500  0.2500  0.2500
N  0.7500  0.7500  0.7500

Calculated values
Formation energy from raw total energies, eV/atom: 1.669
Space group: No. 225
DOS at the Fermi energy, states/eV per atom: 0.4470
Calculated total energy, eV for the cell shown: -17.5

---

Record 2
Compound: Tm2PuSe4
Source: Alexandria
Functional: PBE-GGA
Structure: optimized geometry

Lattice parameters (Å, degrees): 7.5035 7.5035 7.5035 109.00 110.42 109.00
Sites, in units of the cell vectors:
Tm  0.3750  0.8798  0.7548
Tm  0.5048  0.3798  0.6250
Tm  0.8750  0.1202  0.4952
Tm  0.2452  0.6202  0.1250
Pu  0.7500  0.5000  0.2500
Pu  0.0000  0.0000  0.0000
Se  0.7658  0.2483  0.8669
Se  0.9842  0.6011  0.7325
Se  0.6186  0.7517  0.5175
Se  0.1314  0.3989  0.3831
Se  0.4825  0.1011  0.2342
Se  0.6169  0.7483  0.0158
Se  0.2675  0.2517  0.8686
Se  0.1331  0.8989  0.3814

Calculated values
Formation energy from raw total energies, eV/atom: -1.686
Space group: No. 122
DOS at the Fermi energy, states/eV per atom: 1.5309
Calculated total energy, eV for the cell shown: -98.0

---

Record 3
Compound: NaSr2GeO
Source: Alexandria
Functional: PBE-GGA
Structure: optimized geometry

Lattice parameters (Å, degrees): 5.0948 5.0948 4.6644 90.00 90.00 90.00
Sites, in units of the cell vectors:
Sr  0.0000  0.5000  0.0000
Sr  0.5000  0.0000  0.0000
Ge  0.5000  0.5000  0.5000
O  0.0000  0.0000  0.0000
Na  0.0000  0.0000  0.5000

Calculated values
Formation energy from raw total energies, eV/atom: -1.200
Space group: No. 123
DOS at the Fermi energy, states/eV per atom: 1.0496
Calculated total energy, eV for the cell shown: -20.3

---

Record 4
Compound: Cs3Pb2Br9
Source: Alexandria
Functional: PBE-GGA
Structure: optimized geometry

Lattice parameters (Å, degrees): 8.1074 8.1074 9.9959 90.00 90.00 120.00
Sites, in units of the cell vectors:
Cs  0.6667  0.3333  0.6529
Cs  0.0000  0.0000  0.0000
Cs  0.3333  0.6667  0.3471
Pb  0.6667  0.3333  0.1825
Pb  0.3333  0.6667  0.8175
Br  0.1675  0.8325  0.6674
Br  0.1675  0.3349  0.6674
Br  0.5000  0.5000  0.0000
Br  0.8325  0.6651  0.3326
Br  0.3349  0.1675  0.3326
Br  0.6651  0.8325  0.6674
Br  0.8325  0.1675  0.3326
Br  0.0000  0.5000  0.0000
Br  0.5000  0.0000  0.0000

Calculated values
Formation energy from raw total energies, eV/atom: -1.162
Space group: No. 164
DOS at the Fermi energy, states/eV per atom: 0.1474
Calculated total energy, eV for the cell shown: -41.3